[1]
The following is a DFT calculation (PBE) of a relaxed Rb3BF6 crystal.

## Properties
- Relative energy among the computed polymorphs: 0 meV/atom
- E_form (uncorrected): -2739 kJ/mol of formula units

a b c (Å): 7.0321 7.7115 7.7115
angles (deg): 74.05 90.00 90.00
Each line ends with the local moment (μB).
Element x y z (fractional)
Rb 0.5011 0.9289 0.6432  0.00
Rb 0.0011 0.6432 0.9289  0.00
Rb 0.3764 0.4724 0.5276  0.00
Rb 0.8764 0.5276 0.4724  0.00
Rb 0.0011 0.0711 0.3568  0.00
Rb 0.5011 0.3568 0.0711  0.00
B 0.0607 0.1586 0.8414  0.00
B 0.5607 0.8414 0.1586  0.00
F 0.1463 0.7457 0.5892  0.08
F 0.6463 0.5892 0.7457  0.08
F 0.1602 0.3041 0.8827  0.00
F 0.6602 0.8827 0.3041  0.00
F 0.0583 0.0069 0.9931  0.00
F 0.8750 0.2135 0.7865  0.00
F 0.3750 0.7865 0.2135  0.00
F 0.5583 0.9931 0.0069  0.00
F 0.1602 0.1173 0.6959  0.00
F 0.6602 0.6959 0.1173  0.00
F 0.1463 0.4108 0.2543  0.08
F 0.6463 0.2543 0.4108  0.08

---

[2]
The following is a DFT calculation (PBE) of a relaxed Tb15SmSc4 crystal.

## Properties
- Energy of formation: 0.03 eV/atom

a b c (Å): 4.9607 4.9607 24.7128
angles (deg): 90.00 90.00 90.00
Element x y z (fractional)
Tb 0.5000 0.5000 0.0000
Tb 0.5000 0.5000 0.2036
Tb 0.5000 0.5000 0.4010
Tb 0.5000 0.5000 0.5990
Tb 0.5000 0.5000 0.7964
Tb 0.5000 0.0000 0.1040
Tb 0.5000 0.0000 0.3019
Tb 0.5000 0.0000 0.5000
Tb 0.5000 0.0000 0.6981
Tb 0.5000 0.0000 0.8960
Tb 0.0000 0.5000 0.1040
Tb 0.0000 0.5000 0.3019
Tb 0.0000 0.5000 0.5000
Tb 0.0000 0.5000 0.6981
Tb 0.0000 0.5000 0.8960
Sm 0.0000 0.0000 0.0000
Sc 0.0000 0.0000 0.2028
Sc 0.0000 0.0000 0.4009
Sc 0.0000 0.0000 0.5991
Sc 0.0000 0.0000 0.7972

---

[3]
The following is a DFT calculation (PBE) of a relaxed Sc2AsSe crystal.

## Properties
- Relative energy among the computed polymorphs: 422 meV/atom
- E_form (uncorrected): -437 kJ/mol of formula units

a b c (Å): 4.9457 6.8966 3.3907
angles (deg): 76.05 79.94 127.92
Element x y z (fractional)
As 0.5000 0.0000 0.5000
Sc 0.0000 0.0000 0.0000
Sc 0.0000 0.5000 0.5000
Se 0.5000 0.5000 0.0000

---

[4]
The following is a DFT calculation (PBE) of a relaxed CaAlRePt2 crystal.

## Properties
- Energy of formation: 0.81 eV/atom

a b c (Å): 4.8495 4.8495 5.3702
angles (deg): 90.00 90.00 90.00
Element x y z (fractional)
Re 0.0000 0.0000 0.0000
Ca 0.0000 0.0000 0.5000
Al 0.5000 0.5000 0.5000
Pt 0.0000 0.5000 0.0000
Pt 0.5000 0.0000 0.0000

---

[5]
The following is a DFT calculation (PBE) of a relaxed LiRh2Br crystal.

## Properties
- Relative energy among the computed polymorphs: 287 meV/atom
- E_form (uncorrected): 105 kJ/mol of formula units

a b c (Å): 4.9199 4.9199 4.9199
angles (deg): 133.96 133.96 67.15
Element x y z (fractional)
Br 0.5000 0.5000 0.0000
Li 0.7500 0.2500 0.5000
Rh 0.0000 0.0000 0.0000
Rh 0.2500 0.7500 0.5000

---

[6]
The following is a DFT calculation (PBE) of a relaxed KCd2CoSb crystal.

## Properties
- E_form (uncorrected): -17 kJ/mol of formula units

a b c (Å): 5.1758 5.1758 4.8361
angles (deg): 90.00 90.00 90.00
Each line ends with the local moment (μB).
Element x y z (fractional)
Sb 0.0000 0.0000 0.5000  0.02
K 0.5000 0.5000 0.5000  0.00
Co 0.0000 0.0000 0.0000  0.39
Cd 0.0000 0.5000 0.0000  -0.01
Cd 0.5000 0.0000 0.0000  -0.01